VASP calculation (PBE) on a geometry-optimized SiMoAs2 structure.

Summary:
Its space-group type is Cmmm, No. 65. The raw formation energy comes out at 0.426 eV/atom.

Cell and atoms, written as POSCAR:
```
SiMoAs2
1.0
2.840 0.015 0.000
-0.947 2.678 0.000
0.000 0.000 9.145
As Mo Si
2 1 1
direct
0.000 0.000 0.025 As
0.000 0.000 0.475 As
0.500 0.500 0.250 Mo
0.500 0.500 0.750 Si
```